DFT (GGA-PBE) results for a geometry-optimized Li5Ca structure.

Computed properties:
Excess energy over the best structure of this formula in the dataset = 0.04 eV/f.u.
Fermi-level density of states = 0.453 states/eV per atom

Lattice parameters (Å, degrees): 11.521 3.801 6.905 90.00 106.95 90.00
Fractional positions:
Li (0.000, 0.000, 0.000)
Li (0.171, 0.500, 0.872)
Li (0.187, 0.500, 0.313)
Li (0.313, 0.000, 0.687)
Li (0.329, 0.000, 0.128)
Li (0.500, 0.500, 0.000)
Li (0.671, 0.000, 0.872)
Li (0.687, 0.000, 0.313)
Li (0.813, 0.500, 0.687)
Li (0.829, 0.500, 0.128)
Ca (0.000, 0.000, 0.500)
Ca (0.500, 0.500, 0.500)